CsSbHIr | PBE-GGA | relaxed Values from VASP.

E_tot (eV per atom): -4.2724
DOS(E_F) (states/eV/f.u.): 1.2

```
&SYSTEM
  ibrav = 0, nat = 4, ntyp = 4
/
ATOMIC_SPECIES
Cs 132.91 Cs.upf
Sb 121.76 Sb.upf
H 1.01 H.upf
Ir 192.22 Ir.upf
ATOMIC_POSITIONS angstrom
Cs 0.000 0.000 0.000
Sb 1.686 0.000 9.224
H 0.000 0.000 4.426
Ir 1.686 0.000 3.901
CELL_PARAMETERS angstrom
3.373 0.000 0.000
0.000 2.297 6.484
0.000 -2.297 6.484
```